[1]
{"formula": "RbSn", "functional": "PBE", "state": "optimized geometry", "m_tot_mub_per_cell": 0.000, "sg": "No. 11", "delta_e_f_ev_per_fu": -0.4, "cell": [[5.7954, 0.0000, -0.2290], [0.0000, 4.6140, 0.0000], [-2.6241, 0.0000, 7.0011]], "species": ["Sn", "Rb", "Sn", "Rb"], "frac_coords": [[0.0633, 0.2500, 0.1252], [0.3521, 0.2500, 0.7044], [0.9367, 0.7500, 0.8748], [0.6479, 0.7500, 0.2956]]}

---

[2]
{"formula": "UTl3Sb2Te6", "functional": "PBE", "state": "optimized geometry", "m_tot_mub_per_cell": 2.912, "formation_energy_uncorrected_ev_per_atom": -0.313, "sg": "No. 12", "cell": [[7.8124, 0.0002, -0.0007], [-3.9041, 6.7669, -0.0007], [-1.3045, -2.2588, 8.0472]], "species": ["Sb", "Te", "Te", "Te", "Tl", "Sb", "U", "Te", "Tl", "Te", "Tl", "Te"], "frac_coords": [[0.3332, 0.6668, 0.0000], [0.2644, 0.2644, 0.7871], [0.9282, 0.5933, 0.7851], [0.4067, 0.0718, 0.2149], [0.1648, 0.8352, 0.5000], [0.6668, 0.3332, 0.0000], [0.0000, 0.0000, 0.0000], [0.5933, 0.9282, 0.7851], [0.5000, 0.5000, 0.5000], [0.0718, 0.4067, 0.2149], [0.8352, 0.1648, 0.5000], [0.7356, 0.7356, 0.2129]]}

---

[3]
{"formula": "LiCa2InO", "functional": "PBE", "state": "optimized geometry", "m_tot_mub_per_cell": 0.000, "formation_energy_uncorrected_ev_per_atom": -1.240, "sg": "No. 123", "cell": [[4.7101, 0.0000, 0.0000], [0.0000, 4.7101, 0.0000], [0.0000, 0.0000, 4.8317]], "species": ["Ca", "Ca", "In", "Li", "O"], "frac_coords": [[0.0000, 0.5000, 0.0000], [0.5000, 0.0000, 0.0000], [0.5000, 0.5000, 0.5000], [0.0000, 0.0000, 0.5000], [0.0000, 0.0000, 0.0000]]}

---

[4]
{"formula": "TbPuTcAg", "functional": "PBE", "state": "optimized geometry", "m_tot_mub_per_cell": 4.575, "sg": "No. 216", "delta_e_f_ev_per_fu": 0.3, "cell": [[4.9747, 0.0000, 0.0000], [2.4874, 4.3082, 0.0000], [2.4874, 1.4361, 4.0618]], "species": ["Tb", "Pu", "Ag", "Tc"], "frac_coords": [[0.5000, 0.5000, 0.5000], [0.0000, 0.0000, 0.0000], [0.2500, 0.2500, 0.2500], [0.7500, 0.7500, 0.7500]]}

---

[5]
{"formula": "Zn2SbAu4", "functional": "PBE", "state": "optimized geometry", "m_tot_mub_per_cell": 0.000, "formation_energy_uncorrected_ev_per_atom": -0.091, "sg": "No. 2", "cell": [[4.5311, -0.1563, -0.1550], [-2.3658, 3.8079, 0.7430], [-0.5411, 2.6406, 16.9042]], "species": ["Zn", "Au", "Zn", "Au", "Zn", "Zn", "Au", "Sb", "Au", "Au", "Au", "Au", "Sb", "Au"], "frac_coords": [[0.7933, 0.0930, 0.5562], [0.7991, 0.9745, 0.1169], [0.1522, 0.7488, 0.0509], [0.0839, 0.6905, 0.6107], [0.8478, 0.2512, 0.9491], [0.2067, 0.9070, 0.4438], [0.2009, 0.0255, 0.8831], [0.3642, 0.1031, 0.2729], [0.5000, 0.5000, 0.0000], [0.0797, 0.5132, 0.2108], [0.9161, 0.3095, 0.3893], [0.5000, 0.5000, 0.5000], [0.6358, 0.8969, 0.7271], [0.9203, 0.4868, 0.7892]]}

---

[6]
{"formula": "Tm2CrPd", "functional": "PBE", "state": "optimized geometry", "m_tot_mub_per_cell": 3.580, "sg": "No. 123", "delta_e_f_ev_per_fu": -1.2, "cell": [[3.5095, 0.0000, 0.0000], [0.0000, 4.9066, 0.0000], [0.0000, 0.0000, 4.9066]], "species": ["Cr", "Tm", "Tm", "Pd"], "frac_coords": [[0.5000, 0.5000, 0.5000], [0.0000, 0.0000, 0.5000], [0.0000, 0.5000, 0.0000], [0.5000, 0.0000, 0.0000]]}

---

[7]
{"formula": "EuGd2Hg", "functional": "PBE", "state": "optimized geometry", "m_tot_mub_per_cell": 7.516, "sg": "No. 225", "relative_energy_mev_per_atom": 60.4, "delta_e_f_ev_per_fu": -0.3, "cell": [[5.4938, 0.0000, 0.0000], [2.7469, 4.7578, 0.0000], [2.7469, 1.5859, 4.4857]], "species": ["Eu", "Gd", "Hg", "Gd"], "frac_coords": [[0.0000, 0.0000, 0.0000], [0.7500, 0.7500, 0.7500], [0.5000, 0.5000, 0.5000], [0.2500, 0.2500, 0.2500]]}

---

[8]
{"formula": "Ac2SnPd3", "functional": "PBE", "state": "optimized geometry", "m_tot_mub_per_cell": 0.000, "sg": "No. 44", "relative_energy_mev_per_atom": 0.0, "delta_e_f_ev_per_fu": -4.8, "cell": [[-3.5436, 1.7361, 1.7603], [0.2363, -2.7779, 3.2153], [6.5793, 6.0758, 1.9494]], "species": ["Sn", "Ac", "Ac", "Pd", "Pd", "Pd"], "frac_coords": [[0.4598, 0.9598, 0.9196], [0.1298, 0.1298, 0.2596], [0.8540, 0.3540, 0.7080], [0.3020, 0.8020, 0.6040], [0.7055, 0.7055, 0.4110], [0.5489, 0.5489, 0.0978]]}

---

[9]
{"formula": "SiI4", "functional": "PBE", "state": "optimized geometry", "m_tot_mub_per_cell": 1.028, "formation_energy_uncorrected_ev_per_atom": 0.231, "sg": "No. 221", "cell": [[-1.7411, -0.3784, 5.3298], [2.1787, -5.1687, 0.3448], [4.8789, 2.1732, 1.7481]], "species": ["I", "I", "I", "I", "Si"], "frac_coords": [[0.5000, 0.5000, 0.0000], [0.0000, 0.5000, 0.5000], [0.0000, 0.0000, 0.0000], [0.5000, 0.0000, 0.5000], [0.5000, 0.5000, 0.5000]]}

---

[10]
{"formula": "LaYEr2As4", "functional": "PBE", "state": "optimized geometry", "m_tot_mub_per_cell": 0.000, "sg": "No. 10", "delta_e_f_ev_per_fu": -12.2, "cell": [[-1.6660, 3.8232, 0.1152], [-6.5558, -2.8834, 0.8873], [-1.3409, -0.7967, 7.0483]], "species": ["As", "Y", "As", "La", "Er", "As", "Er", "As"], "frac_coords": [[0.5000, 0.7572, 0.2531], [0.0000, 0.5000, 0.5000], [0.5000, 0.2428, 0.7469], [0.5000, 0.5000, 0.0000], [0.0000, 0.0000, 0.0000], [0.0000, 0.7616, 0.7403], [0.5000, 0.0000, 0.5000], [0.0000, 0.2384, 0.2597]]}

---

[11]
{"formula": "Sr3Ag8", "functional": "PBE", "state": "optimized geometry", "m_tot_mub_per_cell": 0.000, "sg": "No. 71", "delta_e_f_ev_per_fu": -2.3, "cell": [[-2.9722, -2.9745, -0.0215], [2.6036, -2.5818, -2.7400], [6.4381, -3.5571, 13.2927]], "species": ["Sr", "Ag", "Ag", "Ag", "Ag", "Sr", "Ag", "Ag", "Ag", "Ag", "Sr"], "frac_coords": [[0.8532, 0.3532, 0.7064], [0.7466, 0.7466, 0.4932], [0.4022, 0.9022, 0.8044], [0.5468, 0.5468, 0.0935], [0.4532, 0.4532, 0.9065], [0.0000, 0.0000, 0.0000], [0.5978, 0.0978, 0.1956], [0.3098, 0.8098, 0.6195], [0.6902, 0.1902, 0.3805], [0.2534, 0.2534, 0.5068], [0.1468, 0.6468, 0.2936]]}

---

[12]
{"formula": "CuH2Pd", "functional": "PBE", "state": "optimized geometry", "m_tot_mub_per_cell": 0.000, "sg": "No. 62", "relative_energy_mev_per_atom": 0.0, "cell": [[3.7656, 0.0000, 0.0000], [0.0000, 5.7567, 0.0000], [0.0000, 0.0000, 6.5375]], "species": ["Cu", "Cu", "Pd", "H", "Pd", "Cu", "H", "H", "Pd", "H", "H", "H", "H", "H", "Cu", "Pd"], "frac_coords": [[0.7500, 0.6323, 0.5763], [0.2500, 0.8677, 0.0763], [0.2500, 0.9570, 0.6636], [0.2500, 0.0398, 0.3503], [0.7500, 0.5430, 0.1636], [0.7500, 0.1323, 0.9237], [0.7500, 0.4602, 0.8503], [0.7500, 0.8687, 0.0967], [0.7500, 0.0430, 0.3364], [0.2500, 0.5398, 0.1497], [0.2500, 0.1313, 0.9033], [0.7500, 0.3687, 0.4033], [0.2500, 0.6313, 0.5967], [0.7500, 0.9602, 0.6497], [0.2500, 0.3677, 0.4237], [0.2500, 0.4570, 0.8364]]}